# 1
## La2PrHg3PtAu2 (PBE)

Data for a relaxed La2PrHg3PtAu2 crystal.

DFT formation energy = -711 meV/atom
total moment = 0.01 μB/cell
crystal system = orthorhombic
raw total energy = -34.5 eV per formula unit

Unit cell a=4.0711 b=7.9441 c=7.9441 alpha=119.88 beta=90.00 gamma=90.00
Closest atoms and distances in Å follow each position.
Positions (direct):
Hg (0.5000, 0.7404, 0.7404)  2 Pt 2.89, 2 Au 2.98
La (0.0000, 0.0006, 0.6090)  1 Pt 3.10, 4 Au 3.19-3.20, 6 Hg 3.41-3.45
Au (0.5000, 0.3333, 0.6656)  3 Hg 2.98-3.01, 2 Pr 3.18, 4 La 3.19-3.20
La (0.0000, 0.6090, 0.0006)  1 Pt 3.10, 4 Au 3.19-3.20, 6 Hg 3.41-3.45
Pr (0.0000, 0.3918, 0.3918)  1 Pt 3.13, 4 Au 3.18, 6 Hg 3.41-3.44
Hg (0.5000, 0.0018, 0.2588)  2 Pt 2.89, 2 Au 2.98-3.01
Pt (0.0000, 0.9987, 0.9987)  6 Hg 2.89, 2 La 3.10, 1 Pr 3.13
Au (0.5000, 0.6656, 0.3333)  3 Hg 2.98-3.01, 2 Pr 3.18, 4 La 3.19-3.20
Hg (0.5000, 0.2588, 0.0018)  2 Pt 2.89, 2 Au 2.98-3.01

# 2
## DySiPt2 (PBE)

Data for a relaxed DySiPt2 crystal.

total moment = 0.00 μB/cell
crystal system = monoclinic
raw total energy = -26.1 eV per formula unit

Unit cell a=5.5964 b=4.2342 c=6.4232 alpha=90.00 beta=90.40 gamma=90.00
Closest atoms and distances in Å follow each position.
Positions (direct):
Si (0.6307, 0.2500, 0.7502)  6 Pt 2.47-2.53
Pt (0.3359, 0.2500, 0.0361)  3 Si 2.48-2.53, 1 Pt 2.75
Pt (0.3339, 0.2500, 0.4644)  3 Si 2.47-2.53, 1 Pt 2.75
Dy (0.1396, 0.7500, 0.7508)  8 Pt 2.98-3.26
Pt (0.6661, 0.7500, 0.5356)  3 Si 2.47-2.53, 1 Pt 2.75
Pt (0.6641, 0.7500, 0.9639)  3 Si 2.48-2.53, 1 Pt 2.75
Dy (0.8604, 0.2500, 0.2492)  8 Pt 2.98-3.26
Si (0.3693, 0.7500, 0.2498)  6 Pt 2.47-2.53

# 3
## Ho2ScCu4Si4 (PBE)

Data for a relaxed Ho2ScCu4Si4 crystal.

total moment = 0.00 μB/cell
crystal system = orthorhombic
raw total energy = -58.8 eV per formula unit

Unit cell a=7.7563 b=7.7563 c=7.7563 alpha=149.34 beta=131.11 gamma=58.82
Closest atoms and distances in Å follow each position.
Positions (direct):
Ho (0.3709, 0.8709, 0.5000)  6 Cu 2.90-2.99, 6 Si 2.96
Ho (0.6291, 0.1291, 0.5000)  6 Cu 2.90-2.99, 6 Si 2.96
Cu (0.3614, 0.6691, 0.6924)  4 Si 2.40-2.54, 1 Cu 2.47
Cu (0.6386, 0.3309, 0.3076)  4 Si 2.40-2.54, 1 Cu 2.47
Si (0.6913, 0.5000, 0.1913)  2 Cu 2.40, 1 Si 2.46
Si (0.3087, 0.5000, 0.8087)  2 Cu 2.40, 1 Si 2.46
Sc (0.0000, 0.0000, 0.0000)  6 Si 2.85-2.87
Si (0.7873, 0.7873, 0.0000)  6 Cu 2.47-2.54
Si (0.2127, 0.2127, 0.0000)  6 Cu 2.47-2.54
Cu (0.0233, 0.3309, 0.6924)  4 Si 2.40-2.54, 1 Cu 2.47
Cu (0.9767, 0.6691, 0.3076)  4 Si 2.40-2.54, 1 Cu 2.47

# 4
## Sr3Ir (PBE)

Data for a relaxed Sr3Ir crystal.

total moment = 0.02 μB/cell
crystal system = trigonal
raw total energy = -14.4 eV per formula unit

Unit cell a=7.4833 b=7.4833 c=20.9944 alpha=90.00 beta=90.00 gamma=120.00
Closest atoms and distances in Å follow each position.
Positions (direct):
Ir (0.6667, 0.3333, 0.5000)  6 Sr 2.94
Sr (0.6811, 0.0137, 0.2437)  2 Ir 2.94
Sr (0.3476, 0.9997, 0.4223)  2 Ir 2.94
Ir (0.3333, 0.6667, 0.5000)  6 Sr 2.94
Sr (0.6779, 0.0118, 0.9110)  2 Ir 2.94
Sr (0.3326, 0.0137, 0.7563)  2 Ir 2.94
Ir (0.0000, 0.0000, 0.1659)  6 Sr 2.94
Sr (0.9863, 0.3189, 0.7563)  2 Ir 2.94
Ir (0.0000, 0.0000, 0.8341)  6 Sr 2.94
Sr (0.0003, 0.6524, 0.5777)  2 Ir 2.94
Sr (0.0003, 0.3479, 0.4223)  2 Ir 2.94
Sr (0.6811, 0.6674, 0.7563)  2 Ir 2.94
Sr (0.6521, 0.9997, 0.5777)  2 Ir 2.94
Sr (0.9863, 0.6674, 0.2437)  2 Ir 2.94
Sr (0.3339, 0.0118, 0.0890)  2 Ir 2.94
Sr (0.9882, 0.6661, 0.9110)  2 Ir 2.94
Ir (0.6667, 0.3333, 0.8337)  6 Sr 2.94
Sr (0.9882, 0.3221, 0.0890)  2 Ir 2.94
Ir (0.6667, 0.3333, 0.1663)  6 Sr 2.94
Sr (0.3476, 0.3479, 0.5777)  2 Ir 2.94
Sr (0.3326, 0.3189, 0.2437)  2 Ir 2.94
Sr (0.6779, 0.6661, 0.0890)  2 Ir 2.94
Sr (0.6521, 0.6524, 0.4223)  2 Ir 2.94
Sr (0.3339, 0.3221, 0.9110)  2 Ir 2.94

# 5
## ThFeCu (PBE)

Data for a relaxed ThFeCu crystal.

DFT formation energy = 267 meV/atom
total moment = 0.91 μB/cell
crystal system = cubic
raw total energy = -18.6 eV per formula unit

Unit cell a=4.3332 b=4.3332 c=4.3332 alpha=60.00 beta=60.00 gamma=60.00
Closest atoms and distances in Å follow each position.
Positions (direct):
Cu (0.2500, 0.2500, 0.2500)  4 Fe 2.65
Th (0.7500, 0.7500, 0.7500)  4 Fe 2.65
Fe (0.0000, 0.0000, 0.0000)  4 Th 2.65, 4 Cu 2.65

# 6
## SmHoZn (PBE)

Data for a relaxed SmHoZn crystal.

DFT formation energy = 24 meV/atom
total moment = 0.03 μB/cell
crystal system = cubic
raw total energy = -10.5 eV per formula unit

Unit cell a=4.9490 b=4.9490 c=4.9490 alpha=60.00 beta=60.00 gamma=60.00
Closest atoms and distances in Å follow each position.
Positions (direct):
Zn (0.0000, 0.0000, 0.0000)  4 Sm 3.03, 4 Ho 3.03
Sm (0.7500, 0.7500, 0.7500)  4 Zn 3.03
Ho (0.2500, 0.2500, 0.2500)  4 Zn 3.03

# 7
## Tb5O (PBE)

Data for a relaxed Tb5O crystal.

total moment = 1.00 μB/cell
crystal system = hexagonal
raw total energy = -22.9 eV per formula unit

Unit cell a=6.1609 b=6.1609 c=5.9972 alpha=90.00 beta=90.00 gamma=120.00
Closest atoms and distances in Å follow each position.
Positions (direct):
Tb (0.3333, 0.6667, 0.0000)  9 Tb 3.49-3.56, 3 O 3.56
Tb (0.6667, 0.3333, 0.0000)  9 Tb 3.49-3.56, 3 O 3.56
Tb (0.5000, 0.5000, 0.5000)  4 Tb 3.08
O (0.0000, 0.0000, 0.0000)  6 Tb 3.56
Tb (0.5000, 0.0000, 0.5000)  4 Tb 3.08
Tb (0.0000, 0.5000, 0.5000)  4 Tb 3.08

# 8
## Tm3Zn3Cu2Au (PBE)

Data for a relaxed Tm3Zn3Cu2Au crystal.

DFT formation energy = -440 meV/atom
total moment = 0.01 μB/cell
crystal system = hexagonal
raw total energy = -31.9 eV per formula unit

Unit cell a=7.2341 b=7.2341 c=3.7558 alpha=90.00 beta=90.00 gamma=120.00
Closest atoms and distances in Å follow each position.
Positions (direct):
Tm (0.0000, 0.4077, 0.0000)  4 Cu 2.89, 1 Au 2.95, 6 Zn 3.00-3.21
Cu (0.6667, 0.3333, 0.5000)  3 Zn 2.67, 6 Tm 2.89
Zn (0.0000, 0.7310, 0.5000)  2 Cu 2.67, 2 Au 2.70
Cu (0.3333, 0.6667, 0.5000)  3 Zn 2.67, 6 Tm 2.89
Tm (0.4077, 0.0000, 0.0000)  4 Cu 2.89, 1 Au 2.95, 6 Zn 3.00-3.21
Zn (0.7310, 0.0000, 0.5000)  2 Cu 2.67, 2 Au 2.70
Zn (0.2690, 0.2690, 0.5000)  2 Cu 2.67, 2 Au 2.70
Au (0.0000, 0.0000, 0.0000)  6 Zn 2.70, 3 Tm 2.95
Tm (0.5923, 0.5923, 0.0000)  4 Cu 2.89, 1 Au 2.95, 6 Zn 3.00-3.21